Compound: Li2TlHg
Source: Alexandria
Functional: meta-GGA SCAN
Structure: single point on PBEsol structure

```
data_Li2TlHg
_symmetry_space_group_name_H-M 'I m m 2'
_symmetry_Int_Tables_number 44
_cell_length_a 3.6381
_cell_length_b 4.5889
_cell_length_c 9.3056
_cell_angle_alpha 90.00
_cell_angle_beta 90.00
_cell_angle_gamma 90.00
loop_
_symmetry_equiv_pos_as_xyz
'x,y,z'
'-x,-y,z'
'-x,y,z'
'x,-y,z'
'x+1/2,y+1/2,z+1/2'
'-x+1/2,-y+1/2,z+1/2'
'-x+1/2,y+1/2,z+1/2'
'x+1/2,-y+1/2,z+1/2'
loop_
_atom_site_label
_atom_site_fract_x
_atom_site_fract_y
_atom_site_fract_z
Li1 0.0000 0.0000 0.0000
Li2 0.0000 0.5000 0.2418
Tl1 0.0000 0.5000 0.7504
Hg1 0.0000 0.0000 0.5120
```

Calculated values
V (A^3/atom): 19.42
Final energy (eV per cell): -293.2
Formation enthalpy at 0 K (eV per atom): -0.329